The following is a PBE-GGA calculation of a relaxed structure of TlAg3MoSe4, from OQMD via LeMat-Bulk.

Computed properties:
VASP energy: -4.11 eV/atom
total magnetization: 0.222 μB per atom

a b c (Å): 6.394 6.394 6.394
angles (deg): 90.00 90.00 90.00
Space group P-43m (No. 215)
Asymmetric unit:
Tl 0.000 0.000 0.000 (multiplicity 1)
Ag 0.000 0.500 0.500 (multiplicity 3)
Mo 0.500 0.500 0.500 (multiplicity 1)
Se 0.277 0.277 0.277 (multiplicity 4)